This record from Alexandria describes a relaxed BaSiTe crystal. The functional is GGA-PBEsol.

Cell: 5.387 5.387 5.387 Å, 60.00 60.00 60.00°
Positions (direct):
Ba  0.000  0.000  0.000
Si  0.250  0.250  0.250
Te  0.750  0.750  0.750

Computed properties:
Formation energy without anion corrections: 0.100 eV per atom

=====

This record from Alexandria describes a relaxed Ba2SiTe crystal. The functional is GGA-PBEsol.

Cell: 6.451 6.451 5.122 Å, 97.89 97.89 42.18°
Positions (direct):
Ba  0.000  0.000  0.000
Ba  0.743  0.743  0.551
Si  0.467  0.467  0.465
Te  0.286  0.286  0.087

Computed properties:
Formation energy without anion corrections: -0.763 eV per atom

=====

This record from Alexandria describes a relaxed Ba2TlSi crystal. The functional is GGA-PBEsol.

Cell: 4.719 4.719 9.434 Å, 99.71 99.71 47.14°
Positions (direct):
Ba  0.237  0.237  0.214
Ba  0.763  0.763  0.786
Tl  0.000  0.000  0.500
Si  0.500  0.500  0.000

Computed properties:
Formation energy without anion corrections: -0.053 eV per atom

=====

This record from Alexandria describes a relaxed Ba2TlSi crystal. The functional is GGA-PBEsol.

Cell: 3.828 5.517 6.907 Å, 90.00 90.00 90.00°
Positions (direct):
Ba  0.000  0.000  0.000
Ba  0.500  0.500  0.426
Tl  0.500  0.500  0.900
Si  0.000  0.000  0.520

Computed properties:
Formation energy without anion corrections: 0.028 eV per atom

=====

This record from Alexandria describes a relaxed BaTlSi2 crystal. The functional is GGA-PBEsol.

Cell: 3.573 3.573 7.525 Å, 90.00 90.00 90.00°
Positions (direct):
Ba  0.000  0.000  0.000
Tl  0.500  0.500  0.338
Si  0.000  0.000  0.585
Si  0.500  0.500  0.698

Computed properties:
Formation energy without anion corrections: -0.041 eV per atom

=====

This record from Alexandria describes a relaxed BaTl3Si crystal. The functional is GGA-PBEsol.

Cell: 5.380 5.380 5.380 Å, 90.00 90.00 90.00°
Positions (direct):
Ba  0.000  0.000  0.000
Tl  0.000  0.500  0.500
Tl  0.500  0.000  0.500
Tl  0.500  0.500  0.000
Si  0.500  0.500  0.500

Computed properties:
Formation energy without anion corrections: 0.037 eV per atom